Below is crystalline La2Tb3Pr5 at its relaxed geometry, with properties calculated at the PBE-GGA level.

extended XYZ file:
```
20
Lattice="-5.0134 4.3087 -0.3515 -6.4915 -3.1685 -8.5875 -6.5989 -1.8682 8.8820" Properties=species:S:1:pos:R:3 pbc="T T T"
La -9.6691 -1.5494 -5.7544
Pr -7.1658 2.0587 2.7681
Tb -5.8019 -1.4198 3.0119
Pr -12.3519 -1.6549 0.0473
Pr -14.8586 0.4994 -0.1285
Tb -12.3019 0.6917 -3.0690
Tb -8.2726 0.2990 -3.0150
Pr -5.7519 0.9269 -0.1043
Pr -3.2452 -1.2274 0.0714
La -8.4346 0.8213 5.6973
La -12.2469 1.4651 5.6259
La -5.8569 -2.1931 -5.6830
Pr -13.4809 -0.1934 2.8969
Pr -10.3052 0.7131 -0.1164
Pr -7.7985 -1.4412 0.0593
Pr -10.9379 -2.7867 -2.8252
Pr -4.6229 -0.5347 -2.9540
Tb -3.7601 3.2315 -0.2636
Tb -9.8311 -1.0271 2.9579
Tb -1.2534 1.0772 -0.0879
```

Total magnetization   0.000 μB per atom
Energy relative to the elements   0.257 eV/atom
Polymorph energy (0 for the lowest one)   1.974 kcal/mol of atoms

=====

Below is crystalline Rb2SrCl4 at its relaxed geometry, with properties calculated at the PBE-GGA level.

extended XYZ file:
```
14
Lattice="4.5567 0.0000 0.0000 0.0000 8.1338 0.0000 0.0000 0.0000 13.5719" Properties=species:S:1:pos:R:3 pbc="T T T"
Rb 2.2783 0.6016 2.4533
Rb 2.2783 7.5322 11.1186
Cl 0.0000 1.0986 9.4421
Sr 0.0000 0.0000 6.7860
Cl 2.2783 2.2611 12.9498
Cl 2.2783 1.8058 6.1638
Cl 0.0000 7.0352 4.1298
Cl 2.2783 5.8727 0.6222
Cl 0.0000 5.1655 10.9158
Rb 2.2783 3.4653 9.2393
Cl 2.2783 6.3280 7.4081
Cl 0.0000 2.9683 2.6562
Rb 2.2783 4.6685 4.3326
Sr 0.0000 4.0669 0.0000
```

Total magnetization   0.000 μB per atom
Polymorph energy (0 for the lowest one)   0.000 kcal/mol of atoms